{
  "formula": "AlCrO4",
  "functional": "GGA+U",
  "state": "relaxed",
  "polymorph_energy_ev_per_fu": 2.06,
  "total_energy_ev_per_atom": -6.7712,
  "sg": "P222 (16)",
  "magmom_total_mub_per_atom": 0.17,
  "cell": [[5.044, 0.000, 0.000], [0.000, 5.043, 0.000], [0.000, 0.000, 7.539]],
  "species": ["Cr", "Cr", "O", "O", "O", "O", "O", "O", "O", "O", "Al", "Al"],
  "frac_coords": [[0.000, 0.500, 0.000], [0.000, 0.000, 0.500], [0.816, 0.262, 0.887], [0.761, 0.179, 0.384], [0.184, 0.262, 0.113], [0.184, 0.738, 0.887], [0.239, 0.179, 0.616], [0.239, 0.821, 0.384], [0.761, 0.821, 0.616], [0.816, 0.738, 0.113], [0.000, 0.000, 0.000], [0.500, 0.000, 0.500]]
}